This record from Alexandria describes a relaxed Al5Ir crystal. The functional is PBE.

As for the spin magnetization: 0.0 μB per cell. As for the energy of formation from the pure elements: -0.26 eV/atom. The value obtained for the density of states at the Fermi level is 2.13 states/eV/f.u.

Cell: 5.214 5.214 6.670 Å, 72.06 72.06 32.67°
Positions (direct):
Al1 0.323 0.323 0.318
Al2 0.017 0.017 0.001
Al3 0.667 0.667 0.664
Al4 0.386 0.386 0.743
Al5 0.044 0.044 0.387
Ir1 0.729 0.729 0.054